Computed, not measured: an optimized crystal structure of TaMoPb at the PBE level of DFT.

Properties
ΔE to the lowest computed polymorph	0.13	eV per formula unit
total DFT energy (no corrections)	-8.337	eV per atom
formation enthalpy at 0 K	460	meV per atom

Structure (CIF):
```
data_TaMoPb
_chemical_formula_sum 'Ta1 Mo1 Pb1'
_cell_length_a 3.259
_cell_length_b 3.259
_cell_length_c 6.858
_cell_angle_alpha 90.00
_cell_angle_beta 90.00
_cell_angle_gamma 120.00
_space_group_name_H-M_alt 'P 1'
_space_group_IT_number 1
_space_group_name_Hall 'P 1'
loop_
_atom_site_label
_atom_site_type_symbol
_atom_site_fract_x
_atom_site_fract_y
_atom_site_fract_z
Mo1 Mo 0.000 0.000 0.967
Pb1 Pb 0.667 0.333 0.326
Ta1 Ta 0.333 0.667 0.706
```